Record 1
# Ca4InGa (GGA-PBE, relaxed)
# DOS at the Fermi energy ... 1.138 states/eV/atom
# V ... 212.8 Å³ per cell
# Energy above the lowest structure with this stoichiometry ... 113.8 meV/atom
# ΔH_f (0 K) ... -214 meV per atom
# Calculated total energy ... -15.1 eV/cell
data_Ca4InGa
_chemical_formula_sum 'Ca4 In1 Ga1'
_cell_length_a 5.305
_cell_length_b 5.305
_cell_length_c 7.559
_cell_angle_alpha 90.00
_cell_angle_beta 90.00
_cell_angle_gamma 90.00
_space_group_name_H-M_alt 'P 4/m m m'
_space_group_IT_number 123
_space_group_name_Hall '-P 4 2'
loop_
_atom_site_label
_atom_site_fract_x
_atom_site_fract_y
_atom_site_fract_z
Ca1 0.000 0.500 0.241
In1 0.000 0.000 0.500
Ga1 0.500 0.500 0.000

***

Record 2
# Fe2SbBr (GGA-PBE, relaxed)
# Raw formation energy ... 9 kJ per mole of atoms
# DOS at the Fermi energy ... 0.556 states/eV/atom
# V ... 82.7 Å³ per cell
# Energy above the lowest structure with this stoichiometry ... 29.6 meV/atom
# Calculated total energy ... -22.3 eV/cell
data_Fe2SbBr
_chemical_formula_sum 'Fe2 Sb1 Br1'
_cell_length_a 3.274
_cell_length_b 3.274
_cell_length_c 7.712
_cell_angle_alpha 90.00
_cell_angle_beta 90.00
_cell_angle_gamma 90.00
_space_group_name_H-M_alt 'P 4 m m'
_space_group_IT_number 99
loop_
_space_group_symop_operation_xyz
'x,y,z'
'-y,x,z'
'-x,-y,z'
'y,-x,z'
'-x,y,z'
'y,x,z'
'x,-y,z'
'-y,-x,z'
loop_
_atom_site_label
_atom_site_fract_x
_atom_site_fract_y
_atom_site_fract_z
Fe1 0.000 0.000 0.000
Fe2 0.500 0.500 0.145
Sb1 0.000 0.000 0.350
Br1 0.500 0.500 0.804

***

Record 3
# GaAsOsSe2 (GGA-PBE, relaxed)
# Raw formation energy ... 137 kJ per mole of atoms
# DOS at the Fermi energy ... 1.050 states/eV/atom
# V ... 107.1 Å³ per cell
# Energy above the lowest structure with this stoichiometry ... 903.6 meV/atom
# Calculated total energy ... -18.8 eV/cell
data_GaAsOsSe2
_chemical_formula_sum 'Ga1 As1 Os1 Se2'
_cell_length_a 4.779
_cell_length_b 4.779
_cell_length_c 4.691
_cell_angle_alpha 90.00
_cell_angle_beta 90.00
_cell_angle_gamma 90.00
_space_group_name_H-M_alt 'P 4/m m m'
_space_group_IT_number 123
_space_group_name_Hall '-P 4 2'
loop_
_atom_site_label
_atom_site_fract_x
_atom_site_fract_y
_atom_site_fract_z
Ga1 0.000 0.000 0.000
As1 0.000 0.000 0.500
Os1 0.500 0.500 0.500
Se1 0.000 0.500 0.000

***

Record 4
# Ba6HgPd2I3 (GGA-PBE, relaxed)
# Raw formation energy ... -93 kJ per mole of atoms
# DOS at the Fermi energy ... 0.737 states/eV/atom
# V ... 1030.0 Å³ per cell
# Calculated total energy ... -76.8 eV/cell
data_Ba6HgPd2I3
_chemical_formula_sum 'Ba12 Hg2 Pd4 I6'
_cell_length_a 22.382
_cell_length_b 4.725
_cell_length_c 10.399
_cell_angle_alpha 90.00
_cell_angle_beta 110.51
_cell_angle_gamma 90.00
_space_group_name_H-M_alt 'C 1 2/m 1'
_space_group_IT_number 12
loop_
_space_group_symop_operation_xyz
'x,y,z'
'-x,-y,-z'
'-x,y,-z'
'x,-y,z'
'x+1/2,y+1/2,z'
'-x+1/2,-y+1/2,-z'
'-x+1/2,y+1/2,-z'
'x+1/2,-y+1/2,z'
loop_
_atom_site_label
_atom_site_fract_x
_atom_site_fract_y
_atom_site_fract_z
Ba1 0.014 0.000 0.242
Ba2 0.163 0.500 0.115
Ba3 0.178 0.500 0.554
Hg1 0.000 0.500 0.000
Pd1 0.167 0.000 0.333
I1 0.000 0.500 0.500
I2 0.165 0.000 0.829

***

Record 5
# PrTh2Ag (GGA-PBE, relaxed)
# DOS at the Fermi energy ... 1.104 states/eV/atom
# V ... 121.3 Å³ per cell
# Energy above the lowest structure with this stoichiometry ... 0.0 meV/atom
# ΔH_f (0 K) ... 44 meV per atom
# Calculated total energy ... -22.3 eV/cell
data_PrTh2Ag
_chemical_formula_sum 'Pr1 Th2 Ag1'
_cell_length_a 3.648
_cell_length_b 3.648
_cell_length_c 9.117
_cell_angle_alpha 90.00
_cell_angle_beta 90.00
_cell_angle_gamma 90.00
_space_group_name_H-M_alt 'P 4/m m m'
_space_group_IT_number 123
_space_group_name_Hall '-P 4 2'
loop_
_atom_site_label
_atom_site_fract_x
_atom_site_fract_y
_atom_site_fract_z
Pr1 0.000 0.000 0.000
Th1 0.500 0.500 0.282
Ag1 0.000 0.000 0.500

***

Record 6
# MnCrI6 (GGA-PBE, relaxed)
# Raw formation energy ... -32 kJ per mole of atoms
# DOS at the Fermi energy ... 0.746 states/eV/atom
# V ... 1251.1 Å³ per cell
# Calculated total energy ... -92.3 eV/cell
data_MnCrI6
_chemical_formula_sum 'Mn3 Cr3 I18'
_cell_length_a 14.6513
_cell_length_b 14.6513
_cell_length_c 6.7297
_cell_angle_alpha 90.00
_cell_angle_beta 90.00
_cell_angle_gamma 120.00
_space_group_name_H-M_alt 'R -3 m'
_space_group_IT_number 166
_space_group_name_Hall '-R 3 2"'
loop_
_atom_site_label
_atom_site_fract_x
_atom_site_fract_y
_atom_site_fract_z
Mn1 0.0000 0.0000 0.0000
Cr1 0.0000 0.0000 0.5000
I1 0.0861 0.1722 0.7451

***

Record 7
# SrAgGe2Sb (GGA-PBE, relaxed)
# Raw formation energy ... 12 kJ per mole of atoms
# DOS at the Fermi energy ... 0.903 states/eV/atom
# V ... 144.6 Å³ per cell
# Calculated total energy ... -17.3 eV/cell
data_SrAgGe2Sb
_chemical_formula_sum 'Sr1 Ag1 Ge2 Sb1'
_cell_length_a 5.064
_cell_length_b 5.064
_cell_length_c 5.639
_cell_angle_alpha 90.00
_cell_angle_beta 90.00
_cell_angle_gamma 90.00
_space_group_name_H-M_alt 'P 4/m m m'
_space_group_IT_number 123
_space_group_name_Hall '-P 4 2'
loop_
_atom_site_label
_atom_site_fract_x
_atom_site_fract_y
_atom_site_fract_z
Sr1 0.000 0.000 0.000
Ag1 0.500 0.500 0.500
Ge1 0.000 0.500 0.500
Sb1 0.500 0.500 0.000

***

Record 8
# Tm6C3S (GGA-PBE, relaxed)
# Raw formation energy ... -64 kJ per mole of atoms
# DOS at the Fermi energy ... 0.425 states/eV/atom
# V ... 399.6 Å³ per cell
# Calculated total energy ... -130.4 eV/cell
data_Tm6C3S
_chemical_formula_sum 'Tm12 C6 S2'
_cell_length_a 9.958
_cell_length_b 3.557
_cell_length_c 12.304
_cell_angle_alpha 90.00
_cell_angle_beta 113.55
_cell_angle_gamma 90.00
_space_group_name_H-M_alt 'P 1 21/m 1'
_space_group_IT_number 11
loop_
_space_group_symop_operation_xyz
'x,y,z'
'-x,-y,-z'
'-x,y+1/2,-z'
'x,-y+1/2,z'
loop_
_atom_site_label
_atom_site_fract_x
_atom_site_fract_y
_atom_site_fract_z
Tm1 0.012 0.250 0.250
Tm2 0.143 0.750 0.580
Tm3 0.181 0.750 0.097
Tm4 0.326 0.750 0.393
Tm5 0.345 0.250 0.932
Tm6 0.484 0.250 0.227
C1 0.000 0.250 0.623
C2 0.252 0.250 0.248
C3 0.416 0.750 0.079
S1 0.381 0.250 0.582

***

Record 9
# AlCrCl2 (GGA-PBE, relaxed)
# Raw formation energy ... 18 kJ per mole of atoms
# DOS at the Fermi energy ... 0.087 states/eV/atom
# V ... 334.7 Å³ per cell
# Energy above the lowest structure with this stoichiometry ... 739.1 meV/atom
# Calculated total energy ... -65.3 eV/cell
data_AlCrCl2
_chemical_formula_sum 'Al4 Cr4 Cl8'
_cell_length_a 6.943
_cell_length_b 6.943
_cell_length_c 6.943
_cell_angle_alpha 90.00
_cell_angle_beta 90.00
_cell_angle_gamma 90.00
_space_group_name_H-M_alt 'F -4 3 m'
_space_group_IT_number 216
_space_group_name_Hall 'F -4 2 3'
loop_
_atom_site_label
_atom_site_fract_x
_atom_site_fract_y
_atom_site_fract_z
Al1 0.000 0.000 0.000
Cr1 0.250 0.250 0.750
Cl1 0.000 0.000 0.500
Cl2 0.250 0.250 0.250

***

Record 10
# MnSe3Br (GGA-PBE, relaxed)
# Raw formation energy ... 92 kJ per mole of atoms
# DOS at the Fermi energy ... 0.490 states/eV/atom
# V ... 136.7 Å³ per cell
# Calculated total energy ... -16.6 eV/cell
data_MnSe3Br
_chemical_formula_sum 'Mn1 Se3 Br1'
_cell_length_a 5.152
_cell_length_b 5.152
_cell_length_c 5.152
_cell_angle_alpha 90.00
_cell_angle_beta 90.00
_cell_angle_gamma 90.00
_space_group_name_H-M_alt 'P m -3 m'
_space_group_IT_number 221
_space_group_name_Hall '-P 4 2 3'
loop_
_atom_site_label
_atom_site_fract_x
_atom_site_fract_y
_atom_site_fract_z
Mn1 0.000 0.000 0.000
Se1 0.000 0.500 0.500
Br1 0.500 0.500 0.500

***

Record 11
# YBeW2 (GGA-PBE, relaxed)
# DOS at the Fermi energy ... 1.292 states/eV/atom
# V ... 137.3 Å³ per cell
# ΔH_f (0 K) ... 478 meV per atom
# Calculated total energy ... -68.4 eV/cell
data_YBeW2
_chemical_formula_sum 'Y2 Be2 W4'
_cell_length_a 7.951
_cell_length_b 4.576
_cell_length_c 4.618
_cell_angle_alpha 90.00
_cell_angle_beta 125.22
_cell_angle_gamma 90.00
_space_group_name_H-M_alt 'C 1 m 1'
_space_group_IT_number 8
loop_
_space_group_symop_operation_xyz
'x,y,z'
'x,-y,z'
'x+1/2,y+1/2,z'
'x+1/2,-y+1/2,z'
loop_
_atom_site_label
_atom_site_fract_x
_atom_site_fract_y
_atom_site_fract_z
Y1 0.000 0.000 0.000
Be1 0.252 0.500 0.253
W1 0.001 0.500 0.502
W2 0.248 0.000 0.747

***

Record 12
# Tb2CdOs (GGA-PBE, relaxed)
# DOS at the Fermi energy ... 0.695 states/eV/atom
# V ... 403.9 Å³ per cell
# Energy above the lowest structure with this stoichiometry ... 452.8 meV/atom
# ΔH_f (0 K) ... 166 meV per atom
# Calculated total energy ... -62.2 eV/cell
data_Tb2CdOs
_chemical_formula_sum 'Tb6 Cd3 Os3'
_cell_length_a 3.9931
_cell_length_b 3.9931
_cell_length_c 29.2470
_cell_angle_alpha 90.00
_cell_angle_beta 90.00
_cell_angle_gamma 120.00
_space_group_name_H-M_alt 'R -3 m'
_space_group_IT_number 166
_space_group_name_Hall '-R 3 2"'
loop_
_atom_site_label
_atom_site_fract_x
_atom_site_fract_y
_atom_site_fract_z
Tb1 0.0000 0.0000 0.1159
Cd1 0.0000 0.0000 0.0000
Os1 0.0000 0.0000 0.5000

***

Record 13
# BeCdMo2 (GGA-PBE, relaxed)
# DOS at the Fermi energy ... 0.464 states/eV/atom
# V ... 61.7 Å³ per cell
# Energy above the lowest structure with this stoichiometry ... 108.2 meV/atom
# ΔH_f (0 K) ... 366 meV per atom
# Calculated total energy ... -24.8 eV/cell
data_BeCdMo2
_chemical_formula_sum 'Be1 Cd1 Mo2'
_cell_length_a 2.713
_cell_length_b 4.241
_cell_length_c 5.409
_cell_angle_alpha 90.00
_cell_angle_beta 97.40
_cell_angle_gamma 90.00
_space_group_name_H-M_alt 'P 1 2/m 1'
_space_group_IT_number 10
loop_
_space_group_symop_operation_xyz
'x,y,z'
'-x,-y,-z'
'-x,y,-z'
'x,-y,z'
loop_
_atom_site_label
_atom_site_fract_x
_atom_site_fract_y
_atom_site_fract_z
Be1 0.000 0.000 0.000
Cd1 0.000 0.000 0.500
Mo1 0.455 0.500 0.221

***

Record 14
# MnAl3P (GGA-PBE, relaxed)
# DOS at the Fermi energy ... 1.823 states/eV/atom
# V ... 93.0 Å³ per cell
# Energy above the lowest structure with this stoichiometry ... 414.9 meV/atom
# ΔH_f (0 K) ... 1036 meV per atom
# Calculated total energy ... -20.6 eV/cell
data_MnAl3P
_chemical_formula_sum 'Mn1 Al3 P1'
_cell_length_a 4.530
_cell_length_b 4.530
_cell_length_c 4.530
_cell_angle_alpha 90.00
_cell_angle_beta 90.00
_cell_angle_gamma 90.00
_space_group_name_H-M_alt 'P m -3 m'
_space_group_IT_number 221
_space_group_name_Hall '-P 4 2 3'
loop_
_atom_site_label
_atom_site_fract_x
_atom_site_fract_y
_atom_site_fract_z
Mn1 0.000 0.000 0.000
Al1 0.000 0.500 0.500
P1 0.500 0.500 0.500

***

Record 15
# RbTa2ZnB (GGA-PBE, relaxed)
# DOS at the Fermi energy ... 1.250 states/eV/atom
# V ... 120.4 Å³ per cell
# ΔH_f (0 K) ... 3811 meV per atom
# Calculated total energy ... -13.6 eV/cell
data_RbTa2ZnB
_chemical_formula_sum 'Rb1 Ta2 Zn1 B1'
_cell_length_a 4.915
_cell_length_b 4.915
_cell_length_c 4.982
_cell_angle_alpha 90.00
_cell_angle_beta 90.00
_cell_angle_gamma 90.00
_space_group_name_H-M_alt 'P 4/m m m'
_space_group_IT_number 123
_space_group_name_Hall '-P 4 2'
loop_
_atom_site_label
_atom_site_fract_x
_atom_site_fract_y
_atom_site_fract_z
Rb1 0.000 0.000 0.000
Ta1 0.000 0.500 0.000
Zn1 0.000 0.000 0.500
B1 0.500 0.500 0.500

***

Record 16
# BaTcBr2 (GGA-PBE, relaxed)
# Raw formation energy ... -19 kJ per mole of atoms
# DOS at the Fermi energy ... 0.481 states/eV/atom
# V ... 119.2 Å³ per cell
# Energy above the lowest structure with this stoichiometry ... 167.7 meV/atom
# Calculated total energy ... -16.4 eV/cell
data_BaTcBr2
_chemical_formula_sum 'Ba1 Tc1 Br2'
_cell_length_a 3.911
_cell_length_b 3.911
_cell_length_c 7.797
_cell_angle_alpha 90.00
_cell_angle_beta 90.00
_cell_angle_gamma 90.00
_space_group_name_H-M_alt 'P 4 m m'
_space_group_IT_number 99
loop_
_space_group_symop_operation_xyz
'x,y,z'
'-y,x,z'
'-x,-y,z'
'y,-x,z'
'-x,y,z'
'y,x,z'
'x,-y,z'
'-y,-x,z'
loop_
_atom_site_label
_atom_site_fract_x
_atom_site_fract_y
_atom_site_fract_z
Ba1 0.000 0.000 0.000
Tc1 0.500 0.500 0.654
Br1 0.000 0.000 0.591
Br2 0.500 0.500 0.236

***

Record 17
# ErHfOsRu (GGA-PBE, relaxed)
# DOS at the Fermi energy ... 0.512 states/eV/atom
# V ... 288.4 Å³ per cell
# Energy above the lowest structure with this stoichiometry ... 27.1 meV/atom
# ΔH_f (0 K) ... -509 meV per atom
# Calculated total energy ... -148.2 eV/cell
data_ErHfOsRu
_chemical_formula_sum 'Er4 Hf4 Os4 Ru4'
_cell_length_a 6.607
_cell_length_b 6.607
_cell_length_c 6.607
_cell_angle_alpha 90.00
_cell_angle_beta 90.00
_cell_angle_gamma 90.00
_space_group_name_H-M_alt 'F -4 3 m'
_space_group_IT_number 216
_space_group_name_Hall 'F -4 2 3'
loop_
_atom_site_label
_atom_site_fract_x
_atom_site_fract_y
_atom_site_fract_z
Er1 0.000 0.000 0.000
Hf1 0.000 0.000 0.500
Os1 0.250 0.250 0.750
Ru1 0.250 0.250 0.250

***

Record 18
# YTlSb2 (GGA-PBE, relaxed)
# Raw formation energy ... -48 kJ per mole of atoms
# DOS at the Fermi energy ... 0.816 states/eV/atom
# V ... 114.6 Å³ per cell
# Energy above the lowest structure with this stoichiometry ... 0.0 meV/atom
# Calculated total energy ... -19.1 eV/cell
data_YTlSb2
_chemical_formula_sum 'Y1 Tl1 Sb2'
_cell_length_a 4.117
_cell_length_b 4.177
_cell_length_c 6.663
_cell_angle_alpha 90.00
_cell_angle_beta 90.00
_cell_angle_gamma 90.00
_space_group_name_H-M_alt 'P m m m'
_space_group_IT_number 47
loop_
_space_group_symop_operation_xyz
'x,y,z'
'-x,-y,-z'
'-x,-y,z'
'x,y,-z'
'x,-y,-z'
'-x,y,z'
'-x,y,-z'
'x,-y,z'
loop_
_atom_site_label
_atom_site_fract_x
_atom_site_fract_y
_atom_site_fract_z
Y1 0.000 0.000 0.000
Tl1 0.000 0.000 0.500
Sb1 0.500 0.500 0.222

***

Record 19
# CuSbTe2H (GGA-PBE, relaxed)
# DOS at the Fermi energy ... 0.712 states/eV/atom
# V ... 107.0 Å³ per cell
# Energy above the lowest structure with this stoichiometry ... 0.0 meV/atom
# Calculated total energy ... -14.8 eV/cell
data_CuSbTe2H
_chemical_formula_sum 'Cu1 Sb1 Te2 H1'
_cell_length_a 5.271
_cell_length_b 5.271
_cell_length_c 3.851
_cell_angle_alpha 90.00
_cell_angle_beta 90.00
_cell_angle_gamma 90.00
_space_group_name_H-M_alt 'P 4/m m m'
_space_group_IT_number 123
_space_group_name_Hall '-P 4 2'
loop_
_atom_site_label
_atom_site_fract_x
_atom_site_fract_y
_atom_site_fract_z
Cu1 0.000 0.000 0.000
Sb1 0.500 0.500 0.000
Te1 0.000 0.500 0.500
H1 0.500 0.500 0.500